1.
{"formula": "RbYSn", "functional": "GGA-PBE", "state": "optimized geometry", "energy_ev_per_cell": -17.792, "spacegroup": "P6_3/mmc, No. 194", "magmom_total_mub_per_fu": 0.00, "formation_enthalpy_0k_mev_per_atom": 846.2, "relative_energy_ev_per_atom": 1.2374, "vol_a3_per_atom": 81.71, "cell": [[7.036, 0.000, 0.000], [-3.518, 6.093, 0.000], [0.000, 0.000, 11.436]], "species": ["Rb", "Rb", "Y", "Y", "Sn", "Sn"], "frac_coords": [[0.333, 0.667, 0.250], [0.667, 0.333, 0.750], [0.000, 0.000, 0.250], [0.000, 0.000, 0.750], [0.000, 0.000, 0.000], [0.000, 0.000, 0.500]]}

=====

2.
{"formula": "RbZn3Sn", "functional": "GGA-PBE", "state": "optimized geometry", "energy_ev_per_cell": -7.543, "spacegroup": "Pm-3m, No. 221", "magmom_total_mub_per_fu": 0.00, "formation_enthalpy_0k_mev_per_atom": 249.9, "relative_energy_ev_per_atom": 0.0000, "vol_a3_per_atom": 33.39, "cell": [[5.506, 0.000, 0.000], [0.000, 5.506, 0.000], [0.000, 0.000, 5.506]], "species": ["Rb", "Zn", "Zn", "Zn", "Sn"], "frac_coords": [[0.000, 0.000, 0.000], [0.000, 0.500, 0.500], [0.500, 0.000, 0.500], [0.500, 0.500, 0.000], [0.500, 0.500, 0.500]]}